(1)
A crystal of Sc2MoOs relaxed with PBEsol. Source: Alexandria, functional meta-GGA SCAN.

Lattice parameters (Å, degrees): 2.9379 4.3895 5.4368 90.00 103.59 90.00
Element x y z (fractional)
Mo: 0.4729 0.0000 0.5250
Os: 0.2651 0.5000 0.7315
Sc: 0.0152 0.0000 0.9823
Sc: 0.7467 0.5000 0.2612

## Properties
Calculated formation energy   -0.07 eV/atom
Calculated density   9.16 Mg/m³
DOS at the Fermi energy   2.984 states/eV/f.u.

***

(2)
A crystal of Ti2SbBrCl relaxed with PBEsol. Source: Alexandria, functional meta-GGA SCAN.

Lattice parameters (Å, degrees): 5.2980 5.2980 5.4852 90.00 90.00 90.00
Element x y z (fractional)
Sb: 0.0000 0.0000 0.0000
Cl: 0.5000 0.5000 0.5000
Br: 0.0000 0.0000 0.5000
Ti: 0.0000 0.5000 0.0000
Ti: 0.5000 0.0000 0.0000

## Properties
Calculated density   3.59 Mg/m³
DOS at the Fermi energy   0.932 states/eV/f.u.
Formation energy (no corrections)   21.22 kJ/mol of atoms

***

(3)
A crystal of MnAs2PBr relaxed with PBEsol. Source: Alexandria, functional meta-GGA SCAN.

Lattice parameters (Å, degrees): 4.7612 4.7612 4.9090 90.00 90.00 90.00
Element x y z (fractional)
P: 0.0000 0.0000 0.0000
As: 0.0000 0.5000 0.0000
As: 0.5000 0.0000 0.0000
Mn: 0.5000 0.5000 0.5000
Br: 0.0000 0.0000 0.5000

## Properties
Calculated density   4.71 Mg/m³
DOS at the Fermi energy   3.116 states/eV/f.u.
Formation energy (no corrections)   61.77 kJ/mol of atoms

***

(4)
A crystal of Na6Fe2B4AsO16 relaxed with PBEsol. Source: Alexandria, functional meta-GGA SCAN.

Lattice parameters (Å, degrees): 9.7156 9.7156 9.7156 60.00 60.00 60.00
Element x y z (fractional)
Na: 0.0371 0.4629 0.0371
Na: 0.2129 0.7871 0.7871
Na: 0.0371 0.0371 0.4629
Na: 0.4629 0.4629 0.0371
Na: 0.7871 0.2129 0.7871
Na: 0.7871 0.2129 0.2129
Na: 0.4629 0.0371 0.0371
Na: 0.4629 0.0371 0.4629
Na: 0.2129 0.2129 0.7871
Na: 0.7871 0.7871 0.2129
Na: 0.0371 0.4629 0.4629
Na: 0.2129 0.7871 0.2129
Fe: 0.6250 0.1250 0.6250
Fe: 0.6250 0.6250 0.1250
Fe: 0.1250 0.6250 0.6250
Fe: 0.6250 0.6250 0.6250
B: 0.8328 0.5017 0.8328
B: 0.8328 0.8328 0.8328
B: 0.8328 0.8328 0.5017
B: 0.5017 0.8328 0.8328
B: 0.7483 0.4172 0.4172
B: 0.4172 0.4172 0.4172
B: 0.4172 0.4172 0.7483
B: 0.4172 0.7483 0.4172
As: 0.2500 0.2500 0.2500
As: 0.0000 0.0000 0.0000
O: 0.4477 0.5378 0.7550
O: 0.2594 0.7550 0.5378
O: 0.8023 0.4950 0.9906
O: 0.9906 0.7122 0.8023
O: 0.7122 0.4950 0.8023
O: 0.4657 0.1781 0.1781
O: 0.9906 0.8023 0.4950
O: 0.1781 0.1781 0.1781
O: 0.1781 0.1781 0.4657
O: 0.7122 0.8023 0.9906
O: 0.8023 0.9906 0.7122
O: 0.1781 0.4657 0.1781
O: 0.4950 0.7122 0.9906
O: 0.7122 0.9906 0.4950
O: 0.4950 0.8023 0.7122
O: 0.7550 0.2594 0.4477
O: 0.4950 0.9906 0.8023
O: 0.7550 0.4477 0.5378
O: 0.5378 0.2594 0.7550
O: 0.7550 0.5378 0.2594
O: 0.0719 0.7843 0.0719
O: 0.4477 0.2594 0.5378
O: 0.5378 0.4477 0.2594
O: 0.0719 0.0719 0.0719
O: 0.0719 0.0719 0.7843
O: 0.2594 0.4477 0.7550
O: 0.7843 0.0719 0.0719
O: 0.5378 0.7550 0.4477
O: 0.2594 0.5378 0.4477
O: 0.4477 0.7550 0.2594
O: 0.9906 0.4950 0.7122
O: 0.8023 0.7122 0.4950

## Properties
Calculated density   3.19 Mg/m³
DOS at the Fermi energy   9.677 states/eV/f.u.
Formation energy (no corrections)   -192.83 kJ/mol of atoms

***

(5)
A crystal of ZnSn3Pb relaxed with PBEsol. Source: Alexandria, functional meta-GGA SCAN.

Lattice parameters (Å, degrees): 5.1708 5.1708 5.1708 90.00 90.00 90.00
Element x y z (fractional)
Pb: 0.5000 0.5000 0.5000
Zn: 0.0000 0.0000 0.0000
Sn: 0.0000 0.5000 0.0000
Sn: 0.0000 0.0000 0.5000
Sn: 0.5000 0.0000 0.0000

## Properties
Calculated formation energy   0.37 eV/atom
Calculated density   7.55 Mg/m³
DOS at the Fermi energy   2.228 states/eV/f.u.
Polymorph energy (0 for the lowest one)   0 meV per atom

***

(6)
A crystal of InCuSnSe4 relaxed with PBEsol. Source: Alexandria, functional meta-GGA SCAN.

Lattice parameters (Å, degrees): 5.9002 5.9002 7.0968 114.56 114.56 90.00
Element x y z (fractional)
Cu: 0.7500 0.2500 0.5000
Sn: 0.5000 0.5000 0.0000
Se: 0.3787 0.3472 0.2468
Se: 0.8681 0.8996 0.2468
Se: 0.1004 0.6213 0.7532
Se: 0.6528 0.1319 0.7532
In: 0.2500 0.7500 0.5000

## Properties
Calculated density   5.09 Mg/m³
Formation energy (no corrections)   -40.88 kJ/mol of atoms

***

(7)
A crystal of LiPm2Rh relaxed with PBEsol. Source: Alexandria, functional meta-GGA SCAN.

Lattice parameters (Å, degrees): 4.9880 4.9880 4.9880 60.00 60.00 60.00
Element x y z (fractional)
Pm: 0.2500 0.2500 0.2500
Pm: 0.7500 0.7500 0.7500
Rh: 0.0000 0.0000 0.0000
Li: 0.5000 0.5000 0.5000

## Properties
Calculated formation energy   -0.45 eV/atom
Calculated density   7.57 Mg/m³
DOS at the Fermi energy   2.190 states/eV/f.u.

***

(8)
A crystal of HgRhCl relaxed with PBEsol. Source: Alexandria, functional meta-GGA SCAN.

Lattice parameters (Å, degrees): 4.5106 4.5106 4.5106 60.00 60.00 60.00
Element x y z (fractional)
Rh: 0.0000 0.0000 0.0000
Hg: 0.2500 0.2500 0.2500
Cl: 0.5000 0.5000 0.5000

## Properties
Calculated density   8.67 Mg/m³
DOS at the Fermi energy   2.646 states/eV/f.u.
Formation energy (no corrections)   71.63 kJ/mol of atoms

***

(9)
A crystal of SbIrRh relaxed with PBEsol. Source: Alexandria, functional meta-GGA SCAN.

Lattice parameters (Å, degrees): 3.0166 4.3189 4.3189 120.00 90.00 90.00
Element x y z (fractional)
Ir: 0.0734 0.0000 0.0000
Rh: 0.5969 0.3333 0.6667
Sb: 0.3298 0.6667 0.3333

## Properties
Calculated density   14.21 Mg/m³
DOS at the Fermi energy   2.181 states/eV/f.u.
Formation energy (no corrections)   13.40 kJ/mol of atoms

***

(10)
A crystal of Y6Ga17Pt5 relaxed with PBEsol. Source: Alexandria, functional meta-GGA SCAN.

Lattice parameters (Å, degrees): 4.1553 8.0882 15.6269 101.84 90.00 104.88
Element x y z (fractional)
Y: 0.2485 0.4970 0.7494
Y: 0.7515 0.5030 0.2506
Y: 0.0890 0.1779 0.9098
Y: 0.5898 0.1797 0.4111
Y: 0.4102 0.8203 0.5889
Y: 0.9110 0.8221 0.0902
Ga: 0.3234 0.6469 0.9556
Ga: 0.8270 0.6541 0.4557
Ga: 0.1730 0.3459 0.5443
Ga: 0.6766 0.3531 0.0444
Ga: 0.0431 0.0861 0.6740
Ga: 0.5460 0.0920 0.1758
Ga: 0.4540 0.9080 0.8242
Ga: 0.9569 0.9139 0.3260
Ga: 0.7693 0.5386 0.6015
Ga: 0.2722 0.5443 0.1049
Ga: 0.7278 0.4557 0.8951
Ga: 0.2307 0.4614 0.3985
Ga: 0.8951 0.7903 0.7284
Ga: 0.3983 0.7967 0.2302
Ga: 0.6017 0.2033 0.7698
Ga: 0.1049 0.2097 0.2716
Ga: 0.5000 0.0000 0.0000
Pt: 0.6070 0.2141 0.6076
Pt: 0.1127 0.2253 0.1119
Pt: 0.8873 0.7747 0.8881
Pt: 0.3930 0.7859 0.3924
Pt: 0.0000 0.0000 0.5000

## Properties
Calculated formation energy   -0.88 eV/atom
Calculated density   9.02 Mg/m³
DOS at the Fermi energy   7.524 states/eV/f.u.

***

(11)
A crystal of HgTeBr2 relaxed with PBEsol. Source: Alexandria, functional meta-GGA SCAN.

Lattice parameters (Å, degrees): 3.5861 3.5861 8.0777 90.00 90.00 90.00
Element x y z (fractional)
Te: 0.5000 0.5000 0.7374
Hg: 0.0000 0.0000 0.4956
Br: 0.0000 0.0000 0.9658
Br: 0.5000 0.5000 0.3012

## Properties
Calculated density   7.80 Mg/m³
DOS at the Fermi energy   2.548 states/eV/f.u.
Formation energy (no corrections)   11.83 kJ/mol of atoms
Polymorph energy (0 for the lowest one)   218 meV per atom

***

(12)
A crystal of CaZn2MoP relaxed with PBEsol. Source: Alexandria, functional meta-GGA SCAN.

Lattice parameters (Å, degrees): 4.5397 4.6390 4.6390 90.00 90.00 90.00
Element x y z (fractional)
P: 0.0000 0.0000 0.0000
Mo: 0.5000 0.0000 0.0000
Ca: 0.5000 0.5000 0.5000
Zn: 0.0000 0.0000 0.5000
Zn: 0.0000 0.5000 0.0000

## Properties
Calculated formation energy   0.35 eV/atom
Calculated density   5.06 Mg/m³
DOS at the Fermi energy   2.472 states/eV/f.u.

***

Number 1: spin magnetization 0.0000 μB per atom. Number 2: spin magnetization 0.9281 μB per atom. Number 3: spin magnetization 0.8706 μB per atom. Number 4: spin magnetization 0.1756 μB per atom. Number 5: spin magnetization 0.0000 μB per atom. Number 6: spin magnetization 0.0000 μB per atom. Number 7: spin magnetization 0.0000 μB per atom. Number 8: spin magnetization 0.3334 μB per atom. Number 9: spin magnetization 0.0000 μB per atom. Number 10: spin magnetization 0.0000 μB per atom. Number 11: spin magnetization 0.0000 μB per atom. Number 12: spin magnetization 0.0000 μB per atom.